Computed, not measured: crystalline AcCeGdIn at its relaxed geometry at the PBE level of DFT.

Properties
- ΔE_f: -32 meV per atom
- Total moment: 10.68 μB per cell

Cell lengths 5.646, 5.646, 5.646 Å; angles 60.00, 60.00, 60.00 degrees
Site moments in Bohr magnetons follow the coordinates.
Fractional positions:
Gd: 0.000 0.000 0.000  7.56
Ce: 0.750 0.750 0.750  1.37
Ac: 0.500 0.500 0.500  0.22
In: 0.250 0.250 0.250  -0.05

=====

Computed, not measured: crystalline Si2RhCl at its relaxed geometry at the PBE level of DFT.

Properties
- Uncorrected formation energy: 196 meV per atom
- Energy relative to the lowest polymorph listed for this composition: 0.3116 eV/atom
- Total moment: 0.00 μB per cell

Cell lengths 5.948, 5.948, 4.277 Å; angles 68.86, 68.86, 27.68 degrees
Fractional positions:
Si: 0.049 0.049 0.951
Si: 0.451 0.451 0.549
Cl: 0.250 0.250 0.250
Rh: 0.750 0.750 0.750

=====

Computed, not measured: crystalline AlCrGe at its relaxed geometry at the PBE level of DFT.

Properties
- Energy relative to the lowest polymorph listed for this composition: 0.0000 eV/atom
- ΔE_f: -115 meV per atom
- Total moment: 1.95 μB per cell

Cell lengths 4.714, 4.713, 4.924 Å; angles 103.97, 103.99, 119.71 degrees
Site moments in Bohr magnetons follow the coordinates.
Fractional positions:
Al: 0.401 0.872 0.984  -0.03
Al: 0.151 0.123 0.485  -0.03
Cr: 0.481 0.793 0.485  1.08
Cr: 0.731 0.543 0.985  1.08
Ge: 0.810 0.463 0.484  -0.07
Ge: 0.060 0.214 0.985  -0.07

=====

Computed, not measured: crystalline SrNpRuN3 at its relaxed geometry at the PBE level of DFT.

Properties
- Uncorrected formation energy: -562 meV per atom
- Total moment: 3.42 μB per cell

Cell lengths 3.409, 7.451, 7.796 Å; angles 101.74, 90.00, 90.00 degrees
Site moments in Bohr magnetons follow the coordinates.
Fractional positions:
N: 0.750 0.846 0.138  -0.10
N: 0.250 0.811 0.519  -0.01
N: 0.250 0.154 0.862  -0.10
N: 0.750 0.448 0.126  -0.13
N: 0.250 0.552 0.874  -0.13
N: 0.750 0.189 0.481  -0.01
Sr: 0.250 0.182 0.207  0.00
Sr: 0.750 0.818 0.793  0.00
Ru: 0.250 0.101 0.592  -0.18
Ru: 0.750 0.899 0.408  -0.18
Np: 0.750 0.346 0.838  2.14
Np: 0.250 0.654 0.162  2.14

=====

Computed, not measured: crystalline Li2Tb2PmGe2 at its relaxed geometry at the PBE level of DFT.

Properties
- ΔE_f: -489 meV per atom
- Total moment: 0.00 μB per cell

Cell lengths 4.500, 4.500, 9.425 Å; angles 76.19, 76.19, 60.00 degrees
Fractional positions:
Li: 0.403 0.403 0.792
Li: 0.597 0.597 0.208
Pm: 0.000 0.000 0.000
Tb: 0.873 0.873 0.382
Tb: 0.127 0.127 0.618
Ge: 0.262 0.262 0.215
Ge: 0.738 0.738 0.785

=====

Computed, not measured: crystalline LiMnCr2 at its relaxed geometry at the PBE level of DFT.

Properties
- Energy relative to the lowest polymorph listed for this composition: 0.0480 eV/atom
- ΔE_f: 293 meV per atom
- Total moment: 0.26 μB per cell

Cell lengths 2.420, 2.420, 8.670 Å; angles 90.00, 90.00, 109.85 degrees
Site moments in Bohr magnetons follow the coordinates.
Fractional positions:
Cr: 0.000 0.000 0.520  -0.06
Cr: 0.000 0.000 0.980  -0.06
Mn: 0.500 0.500 0.750  0.39
Li: 0.500 0.500 0.250  0.00

=====

Density of states at the Fermi level: 2.482; 0.317; 0.573; 1.034; 0.433; 1.234 (states/eV per atom)